No. 1
First-principles (PBE-GGA) data for crystalline AlFeNi at its relaxed geometry, as listed in the Open Quantum Materials Database.

Summary:
M_tot (Bohr magnetons per cell): 12.0
Electronic total energy (eV/atom): -5.94
Crystal system: cubic

Unit cell a=5.532 b=5.532 c=5.532 alpha=90.00 beta=90.00 gamma=90.00
Space group F-43m (No. 216)
One atom of each set of equivalent atoms:
Al (0.000, 0.000, 0.000) (multiplicity 4)
Fe (0.000, 0.000, 0.500) (multiplicity 4)
Ni (0.250, 0.250, 0.750) (multiplicity 4)

=====

No. 2
First-principles (PBE-GGA) data for crystalline AlFeNi2 at its relaxed geometry, as listed in the Open Quantum Materials Database.

Summary:
M_tot (Bohr magnetons per cell): 11.0
Electronic total energy (eV/atom): -6.07
Crystal system: cubic

Unit cell a=5.680 b=5.680 c=5.680 alpha=90.00 beta=90.00 gamma=90.00
Space group F-43m (No. 216)
One atom of each set of equivalent atoms:
Al (0.000, 0.000, 0.000) (multiplicity 4)
Fe (0.250, 0.250, 0.750) (multiplicity 4)
Ni (0.000, 0.000, 0.500) (multiplicity 4)
Ni (0.250, 0.250, 0.250) (multiplicity 4)